Record 1
# Ir2PbSe, optimized geometry, DFT PBE
data_Ir2PbSe
_space_group_name_H-M_alt 'C 1 2/m 1'
_space_group_IT_number 12
_cell_length_a 5.765
_cell_length_b 9.016
_cell_length_c 4.153
_cell_angle_alpha 90.00
_cell_angle_beta 133.81
_cell_angle_gamma 90.00
loop_
_space_group_symop_operation_xyz
'x,y,z'
'-x,-y,-z'
'-x,y,-z'
'x,-y,z'
'x+1/2,y+1/2,z'
'-x+1/2,-y+1/2,-z'
'-x+1/2,y+1/2,-z'
'x+1/2,-y+1/2,z'
loop_
_atom_site_label
_atom_site_type_symbol
_atom_site_fract_x
_atom_site_fract_y
_atom_site_fract_z
Ir1 Ir 0.250 0.250 0.000
Pb1 Pb 0.000 0.000 0.500
Se1 Se 0.000 0.500 0.500
# **Uncorrected formation energy**: 0.6276 eV/atom
# **Distance to the lowest polymorph of the same formula**: 548 meV/atom
# **Density of states at the Fermi level**: 8.198 states/eV per cell
# **Total DFT energy (no corrections)**: -44.8 eV/cell

---

Record 2
# Ir2PbSe, optimized geometry, DFT PBE
data_Ir2PbSe
_space_group_name_H-M_alt 'P 1 2/m 1'
_space_group_IT_number 10
_cell_length_a 4.256
_cell_length_b 3.803
_cell_length_c 5.537
_cell_angle_alpha 90.00
_cell_angle_beta 90.13
_cell_angle_gamma 90.00
loop_
_space_group_symop_operation_xyz
'x,y,z'
'-x,-y,-z'
'-x,y,-z'
'x,-y,z'
loop_
_atom_site_label
_atom_site_type_symbol
_atom_site_fract_x
_atom_site_fract_y
_atom_site_fract_z
Ir1 Ir 0.003 0.000 0.233
Pb1 Pb 0.500 0.500 0.000
Se1 Se 0.000 0.500 0.500
# **Uncorrected formation energy**: 0.4854 eV/atom
# **Distance to the lowest polymorph of the same formula**: 406 meV/atom
# **Density of states at the Fermi level**: 4.684 states/eV per cell
# **Total DFT energy (no corrections)**: -23.0 eV/cell

---

Record 3
# Ir2PbSe, optimized geometry, DFT PBE
data_Ir2PbSe
_space_group_name_H-M_alt 'P m m m'
_space_group_IT_number 47
_cell_length_a 2.984
_cell_length_b 4.693
_cell_length_c 5.238
_cell_angle_alpha 90.00
_cell_angle_beta 90.00
_cell_angle_gamma 90.00
loop_
_space_group_symop_operation_xyz
'x,y,z'
'-x,-y,-z'
'-x,-y,z'
'x,y,-z'
'x,-y,-z'
'-x,y,z'
'-x,y,-z'
'x,-y,z'
loop_
_atom_site_label
_atom_site_type_symbol
_atom_site_fract_x
_atom_site_fract_y
_atom_site_fract_z
Ir1 Ir 0.000 0.000 0.000
Ir2 Ir 0.500 0.000 0.500
Pb1 Pb 0.000 0.500 0.500
Se1 Se 0.500 0.500 0.000
# **Uncorrected formation energy**: 0.6466 eV/atom
# **Distance to the lowest polymorph of the same formula**: 567 meV/atom
# **Density of states at the Fermi level**: 3.018 states/eV per cell
# **Total DFT energy (no corrections)**: -22.3 eV/cell

---

Record 4
# IrPbSe2, optimized geometry, DFT PBE
data_IrPbSe2
_space_group_name_H-M_alt 'P 4/m m m'
_space_group_IT_number 123
_space_group_name_Hall '-P 4 2'
_cell_length_a 4.970
_cell_length_b 4.970
_cell_length_c 3.324
_cell_angle_alpha 90.00
_cell_angle_beta 90.00
_cell_angle_gamma 90.00
loop_
_atom_site_label
_atom_site_type_symbol
_atom_site_fract_x
_atom_site_fract_y
_atom_site_fract_z
Ir1 Ir 0.000 0.000 0.000
Pb1 Pb 0.500 0.500 0.000
Se1 Se 0.000 0.500 0.500
# **Uncorrected formation energy**: 0.4328 eV/atom
# **Density of states at the Fermi level**: 2.141 states/eV per cell
# **Total DFT energy (no corrections)**: -17.8 eV/cell

---

Q: Among the records above, which one has the highest density of states at the Fermi level?
A: number 1

---

Q: Which value of density of states at the Fermi level does entry 3 give?
A: 3.018 states/eV per cell

---

Q: Among the records above, which one has the highest density of states at the Fermi level?
A: number 1

---

Q: What is the formula in the second record?
A: Ir2PbSe